No. 1
The following is a DFT calculation (PBE) of crystalline Ce7Si2C2 at its relaxed geometry.

POSCAR file:
```
Ce7Si2C2
1.0
6.298 -0.004 -0.842
0.002 6.281 0.004
-1.233 0.000 6.234
Ce C Si
7 2 2
direct
0.500 0.267 0.000
0.000 0.733 0.500
0.499 0.772 0.501
0.000 0.000 0.000
0.500 0.733 0.000
0.501 0.228 0.499
0.000 0.267 0.500
0.260 0.000 0.740
0.740 0.000 0.260
0.161 0.500 0.161
0.839 0.500 0.839
```

**Formation energy from raw total energies**: -191 kJ/mol of formula units



No. 2
The following is a DFT calculation (PBE) of crystalline GdZrGa4 at its relaxed geometry.

POSCAR file:
```
GdZrGa4
1.0
-1.274 4.947 1.794
-3.565 3.032 -2.722
-4.906 0.942 2.089
Ga Gd Zr
4 1 1
direct
0.625 0.625 0.625
0.126 0.625 0.625
0.625 0.625 0.126
0.625 0.126 0.625
0.000 0.000 0.000
0.250 0.250 0.250
```

**Electronic total energy**: -6.2848 eV/atom



No. 3
The following is a DFT calculation (PBE) of crystalline CeErCo at its relaxed geometry.

POSCAR file:
```
CeErCo
1.0
5.239 0.092 0.119
2.536 4.598 0.251
2.461 1.331 6.015
Co Ce Er
2 2 2
direct
0.260 0.259 0.221
0.740 0.741 0.779
0.616 0.616 0.153
0.384 0.384 0.847
0.885 0.885 0.344
0.115 0.115 0.656
```

**Excess energy over the best structure of this formula in the dataset**: 0.23 eV per formula unit



No. 4
The following is a DFT calculation (PBE) of crystalline LiHg2HF6 at its relaxed geometry.

POSCAR file:
```
LiHg2HF6
1.0
6.071 0.000 -0.040
0.000 4.842 0.000
-0.106 0.000 9.563
F H Hg Li
12 2 4 2
direct
0.833 0.320 0.652
0.609 0.804 0.501
0.891 0.304 0.999
0.391 0.196 0.499
0.331 0.190 0.850
0.831 0.310 0.350
0.667 0.820 0.848
0.333 0.180 0.152
0.109 0.696 0.001
0.169 0.690 0.650
0.167 0.680 0.348
0.669 0.810 0.150
0.500 0.000 0.500
0.000 0.500 0.000
0.000 0.002 0.202
0.500 0.502 0.298
0.500 0.498 0.702
0.000 0.998 0.798
0.000 0.500 0.500
0.500 0.000 0.000
```

**Electronic total energy**: -3.4430 eV/atom



No. 5
The following is a DFT calculation (PBE) of crystalline Sr3Tl2Hg4 at its relaxed geometry.

POSCAR file:
```
Sr3Tl2Hg4
1.0
5.160 0.000 0.000
-2.580 5.584 -2.086
0.000 -0.808 9.758
Hg Sr Tl
4 3 2
direct
0.931 0.861 0.596
0.285 0.569 0.953
0.715 0.431 0.047
0.069 0.139 0.404
0.340 0.680 0.328
0.000 0.000 0.000
0.660 0.320 0.672
0.620 0.239 0.284
0.380 0.761 0.716
```

**Electronic total energy**: -1.6628 eV/atom



No. 6
The following is a DFT calculation (PBE) of crystalline Na3Tl5In3 at its relaxed geometry.

POSCAR file:
```
Na3Tl5In3
1.0
-0.817 -3.252 0.596
8.775 -1.116 5.950
-9.138 3.125 4.514
In Tl Na
3 5 3
direct
0.500 0.836 0.000
0.500 0.164 0.164
0.500 0.000 0.836
0.500 0.667 0.333
0.500 0.333 0.667
0.500 0.663 0.663
0.500 0.337 0.000
0.500 0.000 0.337
0.000 0.000 0.589
0.000 0.411 0.411
0.000 0.589 0.000
```

**Excess energy over the best structure of this formula in the dataset**: 0.00 eV per formula unit



No. 7
The following is a DFT calculation (PBE) of crystalline Nd3Zn2Ga9 at its relaxed geometry.

POSCAR file:
```
Nd3Zn2Ga9
1.0
-0.833 -2.732 3.206
7.233 -0.550 4.285
-0.920 4.887 6.801
Ga Nd Zn
9 3 2
direct
0.140 0.586 0.134
0.000 0.500 0.500
0.336 0.036 0.291
0.860 0.866 0.414
0.664 0.709 0.964
0.336 0.291 0.036
0.860 0.414 0.866
0.664 0.964 0.709
0.140 0.134 0.586
0.679 0.321 0.321
0.000 0.000 0.000
0.321 0.679 0.679
0.500 0.719 0.281
0.500 0.281 0.719
```

**Electronic total energy**: -3.6451 eV/atom



No. 8
The following is a DFT calculation (PBE) of crystalline Be2NiAg at its relaxed geometry.

POSCAR file:
```
Be2NiAg
1.0
7.630 -0.020 -0.012
7.165 2.623 -0.012
7.165 1.261 2.300
Ni Be Ag
1 2 1
direct
0.250 0.250 0.250
0.510 0.510 0.510
0.990 0.990 0.990
0.750 0.750 0.750
```

**Excess energy over the best structure of this formula in the dataset**: 0.94 eV per formula unit



No. 9
The following is a DFT calculation (PBE) of crystalline Al5VRu6 at its relaxed geometry.

POSCAR file:
```
Al5VRu6
1.0
-0.082 -3.451 -2.474
5.969 0.387 -0.738
0.829 -5.408 3.872
Ru Al V
6 5 1
direct
0.500 0.751 0.000
0.834 0.249 0.332
0.166 0.249 0.668
0.500 0.249 0.000
0.166 0.751 0.668
0.834 0.751 0.332
0.334 0.500 0.332
0.666 0.500 0.668
0.334 0.000 0.332
0.000 0.500 0.000
0.666 0.000 0.668
0.000 0.000 0.000
```

**Electronic total energy**: -7.6190 eV/atom



No. 10
The following is a DFT calculation (PBE) of crystalline KTbAs2Pd4 at its relaxed geometry.

POSCAR file:
```
KTbAs2Pd4
1.0
4.103 0.000 0.000
0.000 4.103 0.000
0.000 0.000 10.816
Pd K Tb As
4 1 1 2
direct
0.500 0.000 0.192
0.500 0.000 0.808
0.000 0.500 0.192
0.000 0.500 0.808
0.000 0.000 0.500
0.000 0.000 0.000
0.500 0.500 0.319
0.500 0.500 0.681
```

**Electronic total energy**: -5.0192 eV/atom



No. 11
The following is a DFT calculation (PBE) of crystalline CeHoZr2 at its relaxed geometry.

POSCAR file:
```
CeHoZr2
1.0
4.747 0.000 0.000
0.000 4.689 0.000
0.000 0.000 4.689
Ho Zr Ce
1 2 1
direct
0.500 0.500 0.500
0.000 0.500 0.000
0.000 0.000 0.500
0.500 0.000 0.000
```

**Excess energy over the best structure of this formula in the dataset**: 0.06 eV per formula unit



No. 12
The following is a DFT calculation (PBE) of crystalline HgBiSb2Pb4 at its relaxed geometry.

POSCAR file:
```
HgBiSb2Pb4
1.0
4.619 0.000 0.000
0.000 7.647 0.015
0.000 -2.776 7.544
Pb Sb Hg Bi
4 2 1 1
direct
0.000 0.249 0.736
0.500 0.258 0.266
0.500 0.742 0.734
0.000 0.751 0.264
0.000 0.500 0.500
0.500 0.000 0.500
0.000 0.000 0.000
0.500 0.500 0.000
```

**Formation energy from raw total energies**: 35 kJ/mol of formula units



No. 13
The following is a DFT calculation (PBE) of crystalline RePdBr2 at its relaxed geometry.

POSCAR file:
```
RePdBr2
1.0
0.000 3.272 3.272
3.272 0.000 3.272
3.272 3.272 0.000
Re Pd Br
1 1 2
direct
0.500 0.500 0.500
0.000 0.000 0.000
0.250 0.250 0.250
0.750 0.750 0.750
```

**Formation energy from raw total energies**: 427 kJ/mol of formula units
**Excess energy over the best structure of this formula in the dataset**: 1.42 eV per formula unit



No. 14
The following is a DFT calculation (PBE) of crystalline PmGa8Ir4 at its relaxed geometry.

POSCAR file:
```
PmGa8Ir4
1.0
-4.033 3.534 1.569
-3.196 -1.774 5.725
2.103 5.002 4.087
Ga Ir Pm
8 4 1
direct
0.500 0.781 0.219
0.719 0.781 0.781
0.281 0.219 0.219
0.000 0.349 0.651
0.000 0.651 0.349
0.349 0.651 0.651
0.500 0.219 0.781
0.651 0.349 0.349
0.500 0.000 0.500
0.000 0.500 0.000
0.000 0.000 0.500
0.500 0.500 0.000
0.000 0.000 0.000
```

**Electronic total energy**: -5.4146 eV/atom



No. 15
The following is a DFT calculation (PBE) of crystalline Pm4Sm2Al at its relaxed geometry.

POSCAR file:
```
Pm4Sm2Al
1.0
-0.446 3.048 -2.004
-1.627 -0.185 -3.290
-18.081 3.955 6.668
Pm Sm Al
4 2 1
direct
0.294 0.294 0.117
0.091 0.091 0.726
0.706 0.706 0.883
0.909 0.909 0.274
0.808 0.808 0.576
0.192 0.192 0.424
0.000 0.000 0.000
```

**Electronic total energy**: -4.6106 eV/atom



No. 16
The following is a DFT calculation (PBE) of crystalline ErGeRh3 at its relaxed geometry.

POSCAR file:
```
ErGeRh3
1.0
-2.335 0.477 3.881
-0.292 -4.528 0.381
3.899 -0.054 2.352
Rh Er Ge
3 1 1
direct
0.000 0.000 0.500
0.000 0.500 0.000
0.500 0.500 0.500
0.500 0.000 0.000
0.000 0.500 0.500
```

**Electronic total energy**: -6.6027 eV/atom



No. 17
The following is a DFT calculation (PBE) of crystalline MgIrRu2 at its relaxed geometry.

POSCAR file:
```
MgIrRu2
1.0
-1.196 -4.412 1.470
1.257 -3.309 -3.245
2.391 3.603 2.087
Ru Ir Mg
2 1 1
direct
0.250 0.750 0.500
0.000 0.000 0.000
0.500 0.500 0.000
0.750 0.250 0.500
```

**Electronic total energy**: -7.1923 eV/atom



No. 18
The following is a DFT calculation (PBE) of crystalline ZrGaSbI2 at its relaxed geometry.

POSCAR file:
```
ZrGaSbI2
1.0
5.769 0.000 0.000
0.000 5.769 0.000
0.000 0.000 5.675
I Ga Sb Zr
2 1 1 1
direct
0.000 0.500 0.000
0.500 0.000 0.000
0.500 0.500 0.500
0.000 0.000 0.500
0.000 0.000 0.000
```

**Formation energy from raw total energies**: -41 kJ/mol of formula units
**Excess energy over the best structure of this formula in the dataset**: 0.00 eV per formula unit



No. 19
The following is a DFT calculation (PBE) of crystalline Mn4W at its relaxed geometry.

POSCAR file:
```
Mn4W
1.0
5.272 0.604 -0.857
2.272 4.788 -0.900
-3.395 -2.399 3.408
Mn W
4 1
direct
0.609 0.609 0.000
0.391 0.391 0.000
0.750 0.250 0.500
0.250 0.750 0.500
0.000 0.000 0.000
```

**Electronic total energy**: -9.5627 eV/atom



No. 20
The following is a DFT calculation (PBE) of crystalline Ga2RuW2 at its relaxed geometry.

POSCAR file:
```
Ga2RuW2
1.0
3.644 0.000 0.000
0.000 3.644 0.000
1.822 1.822 6.320
Ga Ru W
2 1 2
direct
0.593 0.593 0.814
0.407 0.407 0.186
0.000 0.000 0.000
0.250 0.750 0.500
0.750 0.250 0.500
```

**Electronic total energy**: -7.6084 eV/atom